8
Lattice="3.4216 1.9755 6.2525 -3.4216 1.9755 6.2525 0.0000 -3.9510 6.2525" Properties=species:S:1:pos:R:3 comment="PrHoCl6 PBE relaxed" sg=R-3 magnetic_moment_mub_per_cell=0.00 final_energy_ev_per_fu=-38.39 relative_energy_ev_per_atom=0.000 raw_formation_energy_ev_per_atom=-2.244 vol_a3_per_atom=31.696 pbc="T T T"
Pr 0.0000 0.0000 0.0000
Ho 0.0000 0.0000 9.3787
Cl -2.1590 0.0841 7.8555
Cl -1.1524 -1.8277 10.9019
Cl 1.0067 -1.9118 7.8555
Cl -1.0067 1.9118 10.9019
Cl 1.1524 1.8277 7.8555
Cl 2.1590 -0.0841 10.9019